1.
! PBE YHfNb, optimized geometry; values from VASP
&SYSTEM
  ibrav = 0, nat = 6, ntyp = 3
/
ATOMIC_SPECIES
Y 88.91 Y.upf
Hf 178.49 Hf.upf
Nb 92.91 Nb.upf
ATOMIC_POSITIONS crystal
Y 0.132 0.132 0.132
Y 0.868 0.868 0.868
Hf 0.405 0.405 0.405
Hf 0.595 0.595 0.595
Nb 0.312 0.312 0.312
Nb 0.688 0.688 0.688
CELL_PARAMETERS angstrom
1.652 0.954 15.219
-1.652 0.954 15.219
0.000 -1.908 15.219
! * DOS(E_F): 3.909 states/eV/f.u.
! * calculated total energy: -8.586 eV per atom

2.
! PBE Rb2ErPuO4, optimized geometry; values from VASP
&SYSTEM
  ibrav = 0, nat = 8, ntyp = 4
/
ATOMIC_SPECIES
Rb 85.47 Rb.upf
Er 167.26 Er.upf
Pu 244.00 Pu.upf
O 16.00 O.upf
ATOMIC_POSITIONS crystal
Rb 0.000 0.000 0.000
Rb 0.500 0.500 0.000
Er 0.000 0.500 0.500
Pu 0.500 0.000 0.500
O 0.217 0.000 0.675
O 0.269 0.500 0.326
O 0.731 0.500 0.674
O 0.783 0.000 0.325
CELL_PARAMETERS angstrom
6.148 0.000 0.000
0.000 3.542 0.000
-2.043 0.000 6.554
! * DOS(E_F): 5.301 states/eV/f.u.
! * formation energy without anion corrections: -2.504 eV per atom
! * calculated total energy: -7.587 eV per atom

3.
! PBE Rb9TeO3, optimized geometry; values from VASP
&SYSTEM
  ibrav = 0, nat = 13, ntyp = 3
/
ATOMIC_SPECIES
Rb 85.47 Rb.upf
Te 127.60 Te.upf
O 16.00 O.upf
ATOMIC_POSITIONS crystal
Rb 0.000 0.500 0.000
Rb 0.193 0.385 0.500
Rb 0.193 0.807 0.500
Rb 0.385 0.193 0.500
Rb 0.500 0.000 0.000
Rb 0.500 0.500 0.000
Rb 0.615 0.807 0.500
Rb 0.807 0.193 0.500
Rb 0.807 0.615 0.500
Te 0.000 0.000 0.000
O 0.000 0.500 0.500
O 0.500 0.000 0.500
O 0.500 0.500 0.500
CELL_PARAMETERS angstrom
10.328 0.000 0.000
-5.164 8.944 0.000
0.000 0.000 5.664
! * DOS(E_F): 2.930 states/eV/f.u.
! * formation energy without anion corrections: -0.782 eV per atom
! * calculated total energy: -2.837 eV per atom

4.
! PBE Sm5Ti2O12, optimized geometry; values from VASP
&SYSTEM
  ibrav = 0, nat = 19, ntyp = 3
/
ATOMIC_SPECIES
Sm 150.36 Sm.upf
Ti 47.87 Ti.upf
O 16.00 O.upf
ATOMIC_POSITIONS crystal
Sm 0.000 0.000 0.000
Sm 0.307 0.307 0.145
Sm 0.307 0.307 0.662
Sm 0.693 0.693 0.338
Sm 0.693 0.693 0.855
Ti 0.242 0.758 0.500
Ti 0.758 0.242 0.500
O 0.000 0.000 0.322
O 0.000 0.000 0.678
O 0.095 0.597 0.924
O 0.101 0.576 0.418
O 0.403 0.905 0.076
O 0.424 0.899 0.582
O 0.499 0.499 0.679
O 0.501 0.501 0.321
O 0.576 0.101 0.418
O 0.597 0.095 0.924
O 0.899 0.424 0.582
O 0.905 0.403 0.076
CELL_PARAMETERS angstrom
6.314 -2.979 0.000
6.314 2.979 0.000
-2.213 0.000 7.134
! * DOS(E_F): 16.178 states/eV/f.u.
! * formation energy without anion corrections: -3.260 eV per atom
! * calculated total energy: -8.465 eV per atom

5.
! PBE ZrTeOs, optimized geometry; values from VASP
&SYSTEM
  ibrav = 0, nat = 3, ntyp = 3
/
ATOMIC_SPECIES
Zr 91.22 Zr.upf
Te 127.60 Te.upf
Os 190.23 Os.upf
ATOMIC_POSITIONS crystal
Zr 0.000 0.000 0.000
Te 0.330 0.330 0.000
Os 0.656 0.656 0.000
CELL_PARAMETERS angstrom
-1.631 2.155 4.207
1.631 -2.155 4.207
1.631 2.155 -4.207
! * DOS(E_F): 1.611 states/eV/f.u.
! * formation energy without anion corrections: 0.132 eV per atom
! * calculated total energy: -7.508 eV per atom

6.
! PBE LaBe3Pt, optimized geometry; values from VASP
&SYSTEM
  ibrav = 0, nat = 10, ntyp = 3
/
ATOMIC_SPECIES
La 138.91 La.upf
Be 9.01 Be.upf
Pt 195.08 Pt.upf
ATOMIC_POSITIONS crystal
La 0.202 0.250 0.143
La 0.798 0.750 0.857
Be 0.006 0.250 0.665
Be 0.259 0.543 0.546
Be 0.259 0.957 0.546
Be 0.741 0.043 0.454
Be 0.741 0.457 0.454
Be 0.994 0.750 0.335
Pt 0.496 0.750 0.281
Pt 0.504 0.250 0.719
CELL_PARAMETERS angstrom
4.514 0.000 0.000
0.000 5.711 0.000
-0.143 0.000 6.398
! * DOS(E_F): 3.001 states/eV/f.u.
! * calculated total energy: -4.853 eV per atom